Arrangement A

DFT (GGA-PBE) results for a geometry-optimized GeBiI3 structure.

Cell lengths 6.1662, 6.1662, 6.1662 Å; angles 90.00, 90.00, 90.00 degrees
Last column: nearest neighbours and their distance in Å.
Sites, in units of the cell vectors:
I 0.0000 0.5000 0.0000  2 Bi 3.08
I 0.0000 0.0000 0.5000  2 Bi 3.08
I 0.5000 0.0000 0.0000  2 Bi 3.08
Ge 0.5000 0.5000 0.5000  12 I 4.36
Bi 0.0000 0.0000 0.0000  6 I 3.08

crystal system = cubic



Arrangement B

DFT (GGA-PBE) results for a geometry-optimized GeBiI3 structure.

Cell lengths 5.8307, 5.8307, 5.8307 Å; angles 90.00, 90.00, 90.00 degrees
Last column: nearest neighbours and their distance in Å.
Sites, in units of the cell vectors:
I 0.0000 0.5000 0.0000  2 Ge 2.92
I 0.0000 0.0000 0.5000  2 Ge 2.92
I 0.5000 0.0000 0.0000  2 Ge 2.92
Ge 0.0000 0.0000 0.0000  6 I 2.92
Bi 0.5000 0.5000 0.5000  12 I 4.12

crystal system = cubic



It is arrangement B that is most stable; the runner-up trails by 152 meV per atom.



Arrangement A

DFT (GGA-PBE) results for a geometry-optimized GeBiIO2 structure.

Cell lengths 4.2916, 4.2916, 7.1183 Å; angles 90.00, 90.00, 90.00 degrees
Last column: nearest neighbours and their distance in Å.
Sites, in units of the cell vectors:
I 0.0000 0.0000 0.5000  4 Ge 3.03
Ge 0.5000 0.5000 0.5000  4 I 3.03
Bi 0.0000 0.0000 0.0000  4 O 2.15
O 0.0000 0.5000 0.0000  2 Bi 2.15
O 0.5000 0.0000 0.0000  2 Bi 2.15

crystal system = tetragonal



Arrangement B

DFT (GGA-PBE) results for a geometry-optimized GeBiIO2 structure.

Cell lengths 4.2648, 5.4303, 4.2648 Å; angles 90.00, 90.00, 90.00 degrees
Last column: nearest neighbours and their distance in Å.
Sites, in units of the cell vectors:
I 0.0000 0.5000 0.0000  2 Ge 2.72, 4 Bi 3.02
Ge 0.0000 0.0000 0.0000  4 O 2.13
Bi 0.5000 0.5000 0.5000  4 I 3.02
O 0.0000 0.0000 0.5000  2 Ge 2.13
O 0.5000 0.0000 0.0000  2 Ge 2.13

crystal system = tetragonal



It is arrangement A that is most stable; the runner-up trails by 64 meV per atom.